Computed, not measured: Sc2TaTc after structural relaxation at the PBE-GGA level of DFT.

Structure (POSCAR):
```
Sc2TaTc
1.0
5.4765 0.0063 0.0000
-2.6598 4.7873 0.0000
0.0000 0.0000 2.8504
Sc Ta Tc
2 1 1
direct
0.0000 0.0000 0.0000
0.5000 0.5000 0.0000
0.5000 0.0000 0.5000
0.0000 0.5000 0.5000
```

Total energy (eV/atom): -8.585
ρ (kg/m³): 8191
Polymorph energy (0 for the lowest one) (eV/f.u.): 1.27
DOS at the Fermi energy (states/eV/atom): 1.122